Version A
Compound: ZrMoAu
Source: Alexandria
Functional: meta-GGA SCAN
Structure: PBEsol geometry

Cell and atoms, written as extended XYZ:
```
3
Lattice="-3.858 1.106 1.918 -0.715 -0.973 4.282 -0.125 3.255 3.030" Properties=species:S:1:pos:R:3 pbc="T T T"
Au -1.175 0.847 2.307
Zr -2.349 1.694 4.615
Mo 0.000 0.000 0.000
```

Calculated values
- Calculated volume: 20.75 Å³/atom
- Space-group type: F-43m (216)

=====

Version B
Compound: ZrMoAu
Source: Alexandria
Functional: meta-GGA SCAN
Structure: PBEsol geometry

Cell and atoms, written as extended XYZ:
```
3
Lattice="-0.612 0.381 3.376 1.179 -3.193 0.574 3.858 3.038 -1.409" Properties=species:S:1:pos:R:3 pbc="T T T"
Zr 2.749 1.083 0.376
Mo 1.616 -0.881 2.157
Au 0.061 0.024 0.008
```

Calculated values
- Calculated volume: 17.83 Å³/atom
- Space-group type: I4mm (107)

=====

Version C
Compound: ZrMoAu
Source: Alexandria
Functional: meta-GGA SCAN
Structure: PBEsol geometry

Cell and atoms, written as extended XYZ:
```
3
Lattice="-0.028 -2.400 1.208 3.360 -1.553 -3.008 1.252 2.057 4.117" Properties=species:S:1:pos:R:3 pbc="T T T"
Mo 2.634 -2.349 0.373
Zr 1.945 0.054 2.145
Au -0.023 -2.001 1.007
```

Calculated values
- Calculated volume: 17.65 Å³/atom
- Space-group type: P-6m2 (187)

=====

Quick one: least stable of them? version A

=====

Version A
Compound: ZrMo2Au
Source: Alexandria
Functional: meta-GGA SCAN
Structure: PBEsol geometry

Cell and atoms, written as extended XYZ:
```
4
Lattice="-1.158 -2.797 -0.037 4.374 -1.802 -0.721 0.519 1.360 4.796" Properties=species:S:1:pos:R:3 pbc="T T T"
Mo 1.103 -0.488 2.345
Zr -0.579 -1.398 -0.019
Mo 2.631 -2.751 1.693
Au 2.187 -0.901 -0.360
```

Calculated values
- Calculated volume: 17.08 Å³/atom
- Space-group type: C2/m (12)

=====

Version B
Compound: ZrMo2Au
Source: Alexandria
Functional: meta-GGA SCAN
Structure: PBEsol geometry

Cell and atoms, written as extended XYZ:
```
4
Lattice="3.534 0.000 0.000 0.000 4.272 0.000 0.000 0.000 4.484" Properties=species:S:1:pos:R:3 pbc="T T T"
Au 0.000 2.136 2.242
Mo 1.767 2.136 0.000
Zr 1.767 0.000 2.242
Mo 0.000 0.000 0.000
```

Calculated values
- Calculated volume: 16.92 Å³/atom
- Space-group type: Pmmm (47)

=====

Quick one: least stable of them? version A